i.
First-principles (GGA-PBE) data for YZr2IrCl after structural relaxation, as listed in Alexandria.

Lattice parameters (Å, degrees): 4.711 4.711 4.946 90.00 90.00 90.00
Element x y z (fractional)
Y: 0.000 0.000 0.000
Zr: 0.000 0.500 0.500
Zr: 0.500 0.000 0.500
Ir: 0.500 0.500 0.000
Cl: 0.000 0.000 0.500

Values from the calculation:
Symmetry: P4/mmm, No. 123
Size of the total moment: 0.0 Bohr magnetons per cell
Fermi-level density of states: 0.69 states/eV per atom
Calculated volume: 21.95 Å³/atom

ii.
First-principles (GGA-PBE) data for YZr2IrCl after structural relaxation, as listed in Alexandria.

Lattice parameters (Å, degrees): 4.795 4.795 4.736 90.00 90.00 90.00
Element x y z (fractional)
Y: 0.000 0.000 0.000
Zr: 0.000 0.500 0.500
Zr: 0.500 0.000 0.500
Ir: 0.500 0.500 0.000
Cl: 0.500 0.500 0.500

Values from the calculation:
Symmetry: P4/mmm, No. 123
Size of the total moment: 0.0 Bohr magnetons per cell
Fermi-level density of states: 1.40 states/eV per atom
Calculated volume: 21.78 Å³/atom

Which structure is most stable, and how do the rest compare? From most to least stable: i, ii.

i.
First-principles (GGA-PBE) data for ZnIr2Cl2 after structural relaxation, as listed in Alexandria.

Lattice parameters (Å, degrees): 11.104 11.104 11.104 162.30 162.30 25.13
Element x y z (fractional)
Zn: 0.000 0.000 0.000
Ir: 0.250 0.750 0.500
Ir: 0.750 0.250 0.500
Cl: 0.431 0.431 0.000
Cl: 0.569 0.569 0.000

Values from the calculation:
Symmetry: I4/mmm, No. 139
Size of the total moment: 0.0 Bohr magnetons per cell
Fermi-level density of states: 0.87 states/eV per atom
Calculated volume: 25.30 Å³/atom

ii.
First-principles (GGA-PBE) data for ZnIr2Cl2 after structural relaxation, as listed in Alexandria.

Lattice parameters (Å, degrees): 7.720 7.720 2.893 90.00 90.00 90.00
Element x y z (fractional)
Zn: 0.000 0.000 0.000
Zn: 0.500 0.500 0.000
Ir: 0.205 0.295 0.500
Ir: 0.295 0.795 0.500
Ir: 0.705 0.205 0.500
Ir: 0.795 0.705 0.500
Cl: 0.128 0.628 0.000
Cl: 0.372 0.128 0.000
Cl: 0.628 0.872 0.000
Cl: 0.872 0.372 0.000

Values from the calculation:
Symmetry: P4/mbm, No. 127
Size of the total moment: 0.0 Bohr magnetons per cell
Fermi-level density of states: 0.70 states/eV per atom
Calculated volume: 17.24 Å³/atom

Which structure is most stable, and how do the rest compare? From most to least stable: i, ii.

i.
First-principles (GGA-PBE) data for K4Cl after structural relaxation, as listed in Alexandria.

Lattice parameters (Å, degrees): 6.542 6.542 6.542 90.00 90.00 90.00
Element x y z (fractional)
K: 0.000 0.000 0.000
K: 0.000 0.500 0.500
K: 0.500 0.000 0.500
K: 0.500 0.500 0.000
Cl: 0.500 0.500 0.500

Values from the calculation:
Symmetry: Pm-3m, No. 221
Size of the total moment: 0.0 Bohr magnetons per cell
Fermi-level density of states: 0.60 states/eV per atom
Calculated volume: 56.01 Å³/atom

ii.
First-principles (GGA-PBE) data for K4Cl after structural relaxation, as listed in Alexandria.

Lattice parameters (Å, degrees): 8.257 8.257 8.257 93.64 93.64 150.83
Element x y z (fractional)
K: 0.048 0.241 0.289
K: 0.241 0.952 0.193
K: 0.759 0.048 0.807
K: 0.952 0.759 0.711
Cl: 0.500 0.500 0.000

Values from the calculation:
Symmetry: I4/m, No. 87
Size of the total moment: 0.0 Bohr magnetons per cell
Fermi-level density of states: 0.65 states/eV per atom
Calculated volume: 53.11 Å³/atom

Which structure is most stable, and how do the rest compare? From most to least stable: i, ii.

i.
First-principles (GGA-PBE) data for KLa2Cl after structural relaxation, as listed in Alexandria.

Lattice parameters (Å, degrees): 7.100 7.100 3.713 90.00 90.00 126.54
Element x y z (fractional)
K: 0.000 0.000 0.000
La: 0.000 0.500 0.500
La: 0.500 0.000 0.500
Cl: 0.500 0.500 0.000

Values from the calculation:
Symmetry: Cmmm, No. 65
Size of the total moment: 0.0 Bohr magnetons per cell
Fermi-level density of states: 1.45 states/eV per atom
Calculated volume: 37.60 Å³/atom

ii.
First-principles (GGA-PBE) data for KLa2Cl after structural relaxation, as listed in Alexandria.

Lattice parameters (Å, degrees): 5.992 5.992 3.854 90.00 90.00 90.00
Element x y z (fractional)
K: 0.000 0.000 0.000
La: 0.000 0.500 0.500
La: 0.500 0.000 0.500
Cl: 0.500 0.500 0.000

Values from the calculation:
Symmetry: P4/mmm, No. 123
Size of the total moment: 0.0 Bohr magnetons per cell
Fermi-level density of states: 1.28 states/eV per atom
Calculated volume: 34.59 Å³/atom

iii.
First-principles (GGA-PBE) data for KLa2Cl after structural relaxation, as listed in Alexandria.

Lattice parameters (Å, degrees): 3.646 3.646 10.686 90.00 90.00 90.00
Element x y z (fractional)
K: 0.000 0.000 0.000
La: 0.000 0.000 0.605
La: 0.500 0.500 0.346
Cl: 0.500 0.500 0.809

Values from the calculation:
Symmetry: P4mm, No. 99
Size of the total moment: 0.1 Bohr magnetons per cell
Fermi-level density of states: 1.52 states/eV per atom
Calculated volume: 35.52 Å³/atom

iv.
First-principles (GGA-PBE) data for KLa2Cl after structural relaxation, as listed in Alexandria.

Lattice parameters (Å, degrees): 7.921 7.921 7.921 153.83 140.74 47.80
Element x y z (fractional)
K: 0.000 0.000 0.000
La: 0.302 0.802 0.500
La: 0.698 0.198 0.500
Cl: 0.500 0.500 0.000

Values from the calculation:
Symmetry: Immm, No. 71
Size of the total moment: 0.0 Bohr magnetons per cell
Fermi-level density of states: 1.49 states/eV per atom
Calculated volume: 34.56 Å³/atom

Which structure is most stable, and how do the rest compare? From most to least stable: iii, iv, i, ii.

i.
First-principles (GGA-PBE) data for KLa3Cl after structural relaxation, as listed in Alexandria.

Lattice parameters (Å, degrees): 5.861 5.861 5.861 90.00 90.00 90.00
Element x y z (fractional)
K: 0.000 0.000 0.000
La: 0.000 0.000 0.500
La: 0.000 0.500 0.000
La: 0.500 0.000 0.000
Cl: 0.500 0.500 0.500

Values from the calculation:
Symmetry: Pm-3m, No. 221
Size of the total moment: 0.0 Bohr magnetons per cell
Fermi-level density of states: 1.58 states/eV per atom
Calculated volume: 40.26 Å³/atom

ii.
First-principles (GGA-PBE) data for KLa3Cl after structural relaxation, as listed in Alexandria.

Lattice parameters (Å, degrees): 5.715 5.715 5.715 90.00 90.00 90.00
Element x y z (fractional)
K: 0.000 0.000 0.000
La: 0.000 0.500 0.500
La: 0.500 0.000 0.500
La: 0.500 0.500 0.000
Cl: 0.500 0.500 0.500

Values from the calculation:
Symmetry: Pm-3m, No. 221
Size of the total moment: 0.0 Bohr magnetons per cell
Fermi-level density of states: 1.40 states/eV per atom
Calculated volume: 37.33 Å³/atom

Which structure is most stable, and how do the rest compare? From most to least stable: ii, i.